{"formula": "Ac2MnHgO5", "functional": "GGA+U", "state": "optimized geometry", "lattice_angstrom": [[5.7839, 0.0000, 0.0000], [0.0000, 7.2916, 0.0000], [0.0000, 0.0000, 7.2916]], "species": ["Ac", "Ac", "Ac", "Ac", "Mn", "Mn", "Hg", "Hg", "O", "O", "O", "O", "O", "O", "O", "O", "O", "O"], "frac_coords": [[0.5000, 0.6819, 0.1819], [0.5000, 0.1819, 0.3181], [0.5000, 0.8181, 0.6819], [0.5000, 0.3181, 0.8181], [0.0000, 0.0000, 0.5000], [0.0000, 0.5000, 0.0000], [0.0000, 0.5000, 0.5000], [0.0000, 0.0000, 0.0000], [0.5000, 0.5000, 0.5000], [0.5000, 0.0000, 0.0000], [0.2428, 0.1257, 0.6257], [0.2428, 0.8743, 0.3743], [0.2428, 0.3743, 0.1257], [0.2428, 0.6257, 0.8743], [0.7572, 0.1257, 0.6257], [0.7572, 0.6257, 0.8743], [0.7572, 0.8743, 0.3743], [0.7572, 0.3743, 0.1257]], "energy_ev_per_fu": -60.3, "m_tot_mub_per_fu": 3.8, "dos_at_fermi_per_ev_cell": 5.30}

{"formula": "AcMn2HgO8", "functional": "GGA+U", "state": "optimized geometry", "lattice_angstrom": [[6.1532, -0.0001, 0.0000], [-3.0766, 5.3289, 0.0000], [0.0000, 0.0000, 7.8294]], "species": ["Ac", "Mn", "Mn", "Hg", "O", "O", "O", "O", "O", "O", "O", "O"], "frac_coords": [[0.0000, 0.0000, 0.5000], [0.6667, 0.3333, 0.2419], [0.3333, 0.6667, 0.7581], [0.0000, 0.0000, 0.0000], [0.3333, 0.6667, 0.9635], [0.3729, 0.1920, 0.3129], [0.8080, 0.1809, 0.3129], [0.6667, 0.3333, 0.0365], [0.1920, 0.8191, 0.6871], [0.6271, 0.8080, 0.6871], [0.1809, 0.3729, 0.6871], [0.8191, 0.6271, 0.3129]], "energy_ev_per_fu": -72.5, "m_tot_mub_per_fu": 1.0, "dos_at_fermi_per_ev_cell": 6.41}

{"formula": "AcMn2HgO4", "functional": "GGA+U", "state": "optimized geometry", "lattice_angstrom": [[4.0128, 0.0000, 0.0000], [0.0000, 4.0128, 0.0000], [0.0000, 0.0000, 9.1286]], "species": ["Ac", "Mn", "Mn", "Hg", "O", "O", "O", "O"], "frac_coords": [[0.0000, 0.0000, 0.0000], [0.5000, 0.5000, 0.2230], [0.5000, 0.5000, 0.7770], [0.0000, 0.0000, 0.5000], [0.0000, 0.5000, 0.1771], [0.5000, 0.0000, 0.8229], [0.5000, 0.0000, 0.1771], [0.0000, 0.5000, 0.8229]], "energy_ev_per_fu": -53.2, "m_tot_mub_per_fu": 9.0, "dos_at_fermi_per_ev_cell": 1.91}

{"formula": "AcMnHgO4", "functional": "GGA+U", "state": "optimized geometry", "lattice_angstrom": [[5.8948, 0.0000, 0.0000], [2.9474, 6.1792, -0.6891], [2.9474, 1.2262, 6.0954]], "species": ["Ac", "Ac", "Mn", "Mn", "Hg", "Hg", "O", "O", "O", "O", "O", "O", "O", "O"], "frac_coords": [[0.0000, 0.0000, 0.0000], [0.0000, 0.5000, 0.5000], [0.5000, 0.0000, 0.5000], [0.0000, 0.0000, 0.5000], [0.6468, 0.6032, 0.1032], [0.3532, 0.3968, 0.8968], [0.7442, 0.8517, 0.6599], [0.2558, 0.8401, 0.6483], [0.7442, 0.1599, 0.3517], [0.2558, 0.1483, 0.3401], [0.1979, 0.7846, 0.2846], [0.7329, 0.7846, 0.2846], [0.2671, 0.2154, 0.7154], [0.8021, 0.2154, 0.7154]], "energy_ev_per_fu": -43.6, "m_tot_mub_per_fu": 3.0, "dos_at_fermi_per_ev_cell": 2.45}

{"formula": "Ac2HgMoO8", "functional": "GGA+U", "state": "optimized geometry", "lattice_angstrom": [[-3.5416, -3.0753, 0.3120], [3.2123, -3.5466, 1.9244], [-1.8686, 1.9588, 7.6549]], "species": ["Ac", "Ac", "Hg", "Mo", "O", "O", "O", "O", "O", "O", "O", "O"], "frac_coords": [[0.4456, 0.4716, 0.7452], [0.5544, 0.5284, 0.2548], [0.0000, 0.0000, 0.5000], [0.0000, 0.0000, 0.0000], [0.0724, 0.6979, 0.1362], [0.5889, 0.8844, 0.9838], [0.8746, 0.1711, 0.1943], [0.9276, 0.3021, 0.8638], [0.4111, 0.1156, 0.0162], [0.1254, 0.8289, 0.8057], [0.6918, 0.7137, 0.5079], [0.3082, 0.2863, 0.4921]], "energy_ev_per_fu": -78.3, "m_tot_mub_per_fu": 0.0, "dos_at_fermi_per_ev_cell": 0.00}

{"formula": "AcHgMo2O8", "functional": "GGA+U", "state": "optimized geometry", "lattice_angstrom": [[6.5883, 0.0647, 0.0000], [-2.8641, 5.9335, 0.0000], [-1.8621, -2.9991, 5.5631]], "species": ["Ac", "Hg", "Mo", "Mo", "O", "O", "O", "O", "O", "O", "O", "O"], "frac_coords": [[0.0000, 0.0000, 0.0000], [0.2500, 0.7500, 0.5000], [0.7500, 0.2500, 0.5000], [0.5000, 0.5000, 0.0000], [0.4160, 0.1030, 0.3129], [0.3342, 0.5086, 0.1744], [0.3342, 0.1599, 0.8256], [0.7901, 0.1030, 0.6871], [0.8401, 0.6658, 0.1744], [0.8970, 0.2099, 0.3129], [0.8970, 0.5840, 0.6871], [0.4914, 0.6658, 0.8256]], "energy_ev_per_fu": -80.0, "m_tot_mub_per_fu": 0.7, "dos_at_fermi_per_ev_cell": 3.67}

{"formula": "AcHg2MoO8", "functional": "GGA+U", "state": "optimized geometry", "lattice_angstrom": [[-4.7283, 3.9042, -0.4298], [-0.5784, -5.7654, -2.0518], [-2.0822, -1.8766, 5.8602]], "species": ["Ac", "Hg", "Hg", "Mo", "O", "O", "O", "O", "O", "O", "O", "O"], "frac_coords": [[0.0000, 0.0000, 0.5000], [0.6667, 0.3333, 0.9779], [0.3333, 0.6667, 0.0221], [0.0000, 0.0000, 0.0000], [0.8563, 0.7125, 0.8128], [0.2875, 0.1437, 0.8128], [0.8563, 0.1437, 0.8128], [0.1437, 0.2875, 0.1872], [0.7125, 0.8563, 0.1872], [0.1437, 0.8563, 0.1872], [0.6667, 0.3333, 0.3040], [0.3333, 0.6667, 0.6960]], "energy_ev_per_fu": -62.1, "m_tot_mub_per_fu": 3.0, "dos_at_fermi_per_ev_cell": 7.63}

{"formula": "AcHgMoO5", "functional": "GGA+U", "state": "optimized geometry", "lattice_angstrom": [[-0.1274, 5.8264, -3.4558], [0.9756, -4.5023, -4.9682], [-8.4647, -1.3842, 3.2796]], "species": ["Ac", "Ac", "Hg", "Hg", "Mo", "Mo", "O", "O", "O", "O", "O", "O", "O", "O", "O", "O"], "frac_coords": [[0.0000, 0.0000, 0.5000], [0.0000, 0.0000, 0.0000], [0.2926, 0.7074, 0.2500], [0.7074, 0.2926, 0.7500], [0.6770, 0.3230, 0.2500], [0.3230, 0.6770, 0.7500], [0.0818, 0.9182, 0.2500], [0.9182, 0.0818, 0.7500], [0.8427, 0.2862, 0.1287], [0.1573, 0.7138, 0.8713], [0.7138, 0.1573, 0.3713], [0.2862, 0.8427, 0.6287], [0.7601, 0.6043, 0.3815], [0.2399, 0.3957, 0.6185], [0.3957, 0.2399, 0.1185], [0.6043, 0.7601, 0.8815]], "energy_ev_per_fu": -51.2, "m_tot_mub_per_fu": 1.0, "dos_at_fermi_per_ev_cell": 2.34}